Material: Sm2Dy7Sc
Method: DFT, PBE
State: relaxed

POSCAR file:
```
Sm2Dy7Sc
1.0
3.235 -14.283 0.000
3.235 14.283 0.000
0.000 0.000 3.454
Sm Dy Sc
2 7 1
direct
0.207 0.793 0.000 Sm
0.793 0.207 0.000 Sm
0.000 0.000 0.000 Dy
0.161 0.353 0.000 Dy
0.315 0.685 0.500 Dy
0.353 0.161 0.000 Dy
0.647 0.839 0.000 Dy
0.685 0.315 0.500 Dy
0.839 0.647 0.000 Dy
0.500 0.500 0.500 Sc
```

mass density: 7.72 Mg/m³
calculated total energy: -0.3399 Ry/atom
energy of formation: 0.174 eV per atom

***

Material: Th6RhC2Se3
Method: DFT, PBE
State: relaxed

POSCAR file:
```
Th6RhC2Se3
1.0
9.116 -1.958 0.000
9.116 1.958 0.000
-2.453 0.000 8.092
Th Rh C Se
6 1 2 3
direct
0.018 0.018 0.244 Th
0.322 0.322 0.442 Th
0.331 0.331 0.872 Th
0.669 0.669 0.128 Th
0.678 0.678 0.558 Th
0.982 0.982 0.756 Th
0.500 0.500 0.000 Rh
0.171 0.171 0.336 C
0.829 0.829 0.664 C
0.162 0.162 0.834 Se
0.500 0.500 0.500 Se
0.838 0.838 0.166 Se
```

mass density: 10.09 Mg/m³
calculated total energy: -0.5741 Ry/atom
formation energy from raw total energies: -1.080 eV per atom

***

Material: Be2FeRe
Method: DFT, PBE
State: relaxed

POSCAR file:
```
Be2FeRe
1.0
2.564 -3.452 0.000
2.564 3.452 0.000
-0.379 0.000 2.495
Be Fe Re
2 1 1
direct
0.000 0.500 0.000 Be
0.500 0.000 0.000 Be
0.000 0.000 0.500 Fe
0.500 0.500 0.500 Re
```

ΔE to the lowest computed polymorph: 0.1522 eV per atom
mass density: 9.78 Mg/m³
calculated total energy: -0.5189 Ry/atom
energy of formation: 0.031 eV per atom

***

Material: Pm3Nd4PuS8
Method: DFT, PBE
State: relaxed

POSCAR file:
```
Pm3Nd4PuS8
1.0
4.041 2.333 6.606
-4.041 2.333 6.606
0.000 -4.666 6.606
Pm Nd Pu S
3 4 1 8
direct
0.000 0.500 0.500 Pm
0.500 0.000 0.500 Pm
0.500 0.500 0.000 Pm
0.000 0.000 0.500 Nd
0.000 0.500 0.000 Nd
0.500 0.000 0.000 Nd
0.500 0.500 0.500 Nd
0.000 0.000 0.000 Pu
0.246 0.246 0.752 S
0.246 0.752 0.246 S
0.248 0.754 0.754 S
0.251 0.251 0.251 S
0.749 0.749 0.749 S
0.752 0.246 0.246 S
0.754 0.248 0.754 S
0.754 0.754 0.248 S
```

mass density: 6.72 Mg/m³
calculated total energy: -0.5179 Ry/atom
formation energy from raw total energies: -2.004 eV per atom

***

Material: Re2ClF8
Method: DFT, PBE
State: relaxed

POSCAR file:
```
Re2ClF8
1.0
3.146 -4.599 0.000
3.146 4.599 0.000
-1.372 0.000 6.625
Re Cl F
2 1 8
direct
0.104 0.104 0.176 Re
0.896 0.896 0.824 Re
0.000 0.000 0.500 Cl
0.104 0.692 0.806 F
0.229 0.229 0.924 F
0.308 0.896 0.194 F
0.399 0.399 0.293 F
0.601 0.601 0.707 F
0.692 0.104 0.806 F
0.771 0.771 0.076 F
0.896 0.308 0.194 F
```

mass density: 4.85 Mg/m³
calculated total energy: -0.4093 Ry/atom
formation energy from raw total energies: -1.777 eV per atom

***

Material: Ta2TcOs
Method: DFT, PBE
State: relaxed

POSCAR file:
```
Ta2TcOs
1.0
1.595 -2.332 0.000
1.595 2.332 0.000
0.000 0.000 8.733
Ta Tc Os
2 1 1
direct
0.000 0.000 0.249 Ta
0.000 0.000 0.751 Ta
0.500 0.500 0.000 Tc
0.500 0.500 0.500 Os
```

mass density: 16.62 Mg/m³
calculated total energy: -0.8418 Ry/atom
energy of formation: -0.128 eV per atom

***

Material: PaFe2H4
Method: DFT, PBE
State: relaxed

POSCAR file:
```
PaFe2H4
1.0
4.025 0.000 0.000
1.931 3.830 0.000
1.227 1.087 4.092
Pa Fe H
1 2 4
direct
0.000 0.000 0.000 Pa
0.322 0.296 0.576 Fe
0.678 0.704 0.424 Fe
0.304 0.091 0.327 H
0.421 0.476 0.794 H
0.579 0.524 0.206 H
0.696 0.909 0.673 H
```

mass density: 9.13 Mg/m³
calculated total energy: -0.4313 Ry/atom

***

Material: RuIN2F
Method: DFT, PBE
State: relaxed

POSCAR file:
```
RuIN2F
1.0
3.990 0.000 0.000
0.000 3.990 0.000
0.000 0.000 4.179
Ru I N F
1 1 2 1
direct
0.000 0.000 0.000 Ru
0.500 0.500 0.500 I
0.000 0.500 0.000 N
0.500 0.000 0.000 N
0.000 0.000 0.500 F
```

ΔE to the lowest computed polymorph: 0.0509 eV per atom
mass density: 6.86 Mg/m³
calculated total energy: -0.3821 Ry/atom
formation energy from raw total energies: 0.672 eV per atom

***

In states/eV per atom, the Fermi-level density of states values for the records above are, in order, 1.533 0.706 0.499 0.811 0.479 0.892 0.540 0.522.